# 1
# Tb2CoGe2 (PBE, relaxed)
data_Tb2CoGe2
_chemical_formula_sum 'Tb8 Co4 Ge8'
_cell_length_a 15.7615
_cell_length_b 4.0347
_cell_length_c 8.8889
_cell_angle_alpha 90.00
_cell_angle_beta 116.35
_cell_angle_gamma 90.00
_space_group_name_H-M_alt 'C 1 2/m 1'
_space_group_IT_number 12
_space_group_name_Hall '-C 2y'
loop_
_atom_site_label
_atom_site_type_symbol
_atom_site_fract_x
_atom_site_fract_y
_atom_site_fract_z
_atom_site_occupancy
Tb1 Tb 0.0328 0.0000 0.3313 1
Tb2 Tb 0.2143 0.0000 0.8047 1
Co1 Co 0.0811 0.5000 0.8690 1
Ge1 Ge 0.0800 0.5000 0.1504 1
Ge2 Ge 0.1346 0.0000 0.0340 1
# E (eV per cell): -105.52
# Magnetic moment (μB/cell): 0.02


# 2
# CsSmPt (PBE, relaxed)
data_CsSmPt
_chemical_formula_sum 'Cs4 Sm4 Pt4'
_cell_length_a 7.3565
_cell_length_b 7.3565
_cell_length_c 7.3565
_cell_angle_alpha 90.00
_cell_angle_beta 90.00
_cell_angle_gamma 90.00
_space_group_name_H-M_alt 'F -4 3 m'
_space_group_IT_number 216
_space_group_name_Hall 'F -4 2 3'
loop_
_atom_site_label
_atom_site_type_symbol
_atom_site_fract_x
_atom_site_fract_y
_atom_site_fract_z
_atom_site_occupancy
Cs1 Cs 0.0000 0.0000 0.0000 1
Sm1 Sm 0.0000 0.0000 0.5000 1
Pt1 Pt 0.2500 0.2500 0.2500 1
# E (eV per cell): -45.63
# Magnetic moment (μB/cell): 0.00


# 3
# TbNd2Cd3Ir2Pt (PBE, relaxed)
data_TbNd2Cd3Ir2Pt
_chemical_formula_sum 'Tb2 Nd4 Cd6 Ir4 Pt2'
_cell_length_a 4.0318
_cell_length_b 13.0990
_cell_length_c 7.5836
_cell_angle_alpha 90.00
_cell_angle_beta 90.00
_cell_angle_gamma 90.00
_space_group_name_H-M_alt 'A m m 2'
_space_group_IT_number 38
_space_group_name_Hall 'A 2 -2'
loop_
_atom_site_label
_atom_site_type_symbol
_atom_site_fract_x
_atom_site_fract_y
_atom_site_fract_z
_atom_site_occupancy
Tb1 Tb 0.0000 0.0000 0.0000 1
Nd1 Nd 0.0000 0.2047 0.3882 1
Cd1 Cd 0.5000 0.0000 0.3378 1
Cd2 Cd 0.5000 0.1275 0.7209 1
Ir1 Ir 0.5000 0.1630 0.0913 1
Pt1 Pt 0.0000 0.0000 0.5976 1
# Energy of formation from the pure elements (meV/atom): -634
# E (eV per cell): -92.64
# Magnetic moment (μB/cell): 0.01